Run A
The following is a GGA-PBE calculation of a geometry-optimized SiSbPO2 structure, from Alexandria via LeMat-Bulk.

## Properties
As for the crystal system: tetragonal. The volume is 80.8 Å³ per cell. As for the space-group type: No. 123. The density of states at the Fermi level comes out at 1.5 states/eV per cell.

```
data_SiSbPO2
_cell_length_a 3.927
_cell_length_b 3.927
_cell_length_c 5.237
_cell_angle_alpha 90.00
_cell_angle_beta 90.00
_cell_angle_gamma 90.00
_symmetry_space_group_name_H-M 'P 1'
_symmetry_Int_Tables_number 1
_symmetry_space_group_name_Hall 'P 1'
loop_
_atom_site_label
_atom_site_type_symbol
_atom_site_fract_x
_atom_site_fract_y
_atom_site_fract_z
Si1 Si 0.000 0.000 0.000
Sb1 Sb 0.500 0.500 0.500
P1 P 0.500 0.500 0.000
O1 O 0.000 0.500 0.500
O2 O 0.500 0.000 0.500
```

=====

Run B
The following is a GGA-PBE calculation of a geometry-optimized SiSbPO2 structure, from Alexandria via LeMat-Bulk.

## Properties
As for the crystal system: tetragonal. The volume is 64.6 Å³ per cell. As for the space-group type: No. 123. The density of states at the Fermi level comes out at 0.6 states/eV per cell.

```
data_SiSbPO2
_cell_length_a 3.699
_cell_length_b 3.699
_cell_length_c 4.719
_cell_angle_alpha 90.00
_cell_angle_beta 90.00
_cell_angle_gamma 90.00
_symmetry_space_group_name_H-M 'P 1'
_symmetry_Int_Tables_number 1
_symmetry_space_group_name_Hall 'P 1'
loop_
_atom_site_label
_atom_site_type_symbol
_atom_site_fract_x
_atom_site_fract_y
_atom_site_fract_z
Si1 Si 0.000 0.000 0.000
Sb1 Sb 0.500 0.500 0.500
P1 P 0.000 0.000 0.500
O1 O 0.000 0.500 0.000
O2 O 0.500 0.000 0.000
```

=====

Unit: meV per atom. Relative energies: run A 629; run B 0.